This record from Alexandria via LeMat-Bulk describes ZrF after structural relaxation. The functional is GGA-PBE.

a b c (Å): 3.1794 3.1794 7.9646
angles (deg): 90.00 90.00 120.00
With the nearest neighbours (Å) after each atom.
Space group P-3m1 (No. 164)
Asymmetric unit:
Zr: 0.3333 0.6667 0.1587 (multiplicity 2)  3 F 2.31
F: 0.3333 0.6667 0.6662 (multiplicity 2)  3 Zr 2.31

Summary:
Energy above the most stable polymorph in this dataset = 75 meV per atom
Raw formation energy = -2.185 eV per atom
Calculated volume = 69.72 Å³/cell


This record from Alexandria via LeMat-Bulk describes Y2PuIn after structural relaxation. The functional is GGA-PBE.

a b c (Å): 3.5344 3.5344 32.4592
angles (deg): 90.00 90.00 120.00
With the nearest neighbours (Å) after each atom.
Space group R-3m (No. 166, hexagonal axes)
Asymmetric unit:
Y: 0.0000 0.0000 0.2460 (multiplicity 6)  3 In 3.28, 3 Pu 3.49, 6 Y 3.53
Pu: 0.0000 0.0000 0.0000 (multiplicity 3)  6 Y 3.49, 6 Pu 3.53
In: 0.0000 0.0000 0.5000 (multiplicity 3)  6 Y 3.28, 6 In 3.53

Summary:
Energy above the most stable polymorph in this dataset = 86 meV per atom
Calculated volume = 351.16 Å³/cell
Energy of formation from the pure elements = -0.063 eV per atom


This record from Alexandria via LeMat-Bulk describes KRe4 after structural relaxation. The functional is GGA-PBE.

a b c (Å): 4.4095 4.4095 4.4095
angles (deg): 90.00 90.00 90.00
With the nearest neighbours (Å) after each atom.
Space group Pm-3m (No. 221)
Asymmetric unit:
K: 0.0000 0.0000 0.0000 (multiplicity 1)  6 Re 2.20
Re: 0.0000 0.0000 0.5000 (multiplicity 3)  2 K 2.20
Re: 0.5000 0.5000 0.5000 (multiplicity 1)  12 Re 3.12

Summary:
Energy above the most stable polymorph in this dataset = 3088 meV per atom
Calculated volume = 85.74 Å³/cell
Energy of formation from the pure elements = 3.862 eV per atom


This record from Alexandria via LeMat-Bulk describes DyPa3Ge5 after structural relaxation. The functional is GGA-PBE.

a b c (Å): 8.7500 8.7500 5.9538
angles (deg): 90.00 90.00 120.00
With the nearest neighbours (Å) after each atom.
Space group P6_3/mcm (No. 193)
Asymmetric unit:
Dy: 0.0000 0.0000 0.0000 (multiplicity 2)  6 Ge 2.88, 2 Dy 2.98
Pa: 0.0000 0.3837 0.2500 (multiplicity 6)  9 Ge 2.93-3.11
Ge: 0.0000 0.2812 0.7500 (multiplicity 6)  2 Dy 2.88, 5 Pa 2.93-3.11
Ge: 0.3333 0.6667 0.0000 (multiplicity 4)  2 Ge 2.98, 6 Pa 3.10

Summary:
Calculated volume = 394.77 Å³/cell
Energy of formation from the pure elements = -0.540 eV per atom


Copy entry 1 word for word.
This record from Alexandria via LeMat-Bulk describes ZrF after structural relaxation. The functional is GGA-PBE.

a b c (Å): 3.1794 3.1794 7.9646
angles (deg): 90.00 90.00 120.00
With the nearest neighbours (Å) after each atom.
Space group P-3m1 (No. 164)
Asymmetric unit:
Zr: 0.3333 0.6667 0.1587 (multiplicity 2)  3 F 2.31
F: 0.3333 0.6667 0.6662 (multiplicity 2)  3 Zr 2.31

Summary:
Energy above the most stable polymorph in this dataset = 75 meV per atom
Raw formation energy = -2.185 eV per atom
Calculated volume = 69.72 Å³/cell